[1]
Material: CaRh3Pb5
Method: DFT, PBE-GGA
State: optimized geometry

```
18
Lattice="5.997 -4.700 0.000 5.997 4.700 0.000 -5.194 0.000 8.747" Properties=species:S:1:pos:R:3 pbc="T T T"
Ca -0.402 0.000 2.680
Ca 7.202 0.000 6.066
Rh 0.000 0.000 0.000
Rh -2.597 0.000 4.373
Rh -0.551 0.000 7.235
Rh 2.504 0.000 3.031
Rh 4.296 0.000 5.716
Rh 7.351 0.000 1.511
Pb 2.335 2.638 2.982
Pb 2.683 0.000 0.333
Pb 5.997 1.926 0.000
Pb 4.465 2.638 5.765
Pb 1.618 0.000 5.626
Pb 5.182 0.000 3.121
Pb 2.335 -2.638 2.982
Pb 5.997 -1.926 0.000
Pb 4.117 0.000 8.414
Pb 4.465 -2.638 5.765
```

Calculated values
E_form = -0.12 eV per atom
total moment = 0.00 μB/cell
crystal system = monoclinic
electronic total energy = -4.850 eV per atom

[2]
Material: CaRhPb3
Method: DFT, PBE-GGA
State: optimized geometry

```
5
Lattice="5.349 0.000 0.000 0.000 5.349 0.000 0.000 0.000 5.349" Properties=species:S:1:pos:R:3 pbc="T T T"
Ca 0.000 0.000 0.000
Rh 2.675 2.675 2.675
Pb 0.000 2.675 2.675
Pb 2.675 0.000 2.675
Pb 2.675 2.675 0.000
```

Calculated values
E_form = -0.04 eV per atom
total moment = 0.00 μB/cell
crystal system = cubic
electronic total energy = -4.137 eV per atom

[3]
Material: CaRh2Pb2
Method: DFT, PBE-GGA
State: optimized geometry

```
5
Lattice="-2.225 2.225 6.002 2.225 -2.225 6.002 2.225 2.225 -6.002" Properties=species:S:1:pos:R:3 pbc="T T T"
Ca 0.000 0.000 0.000
Rh 2.225 0.000 3.001
Rh 0.000 2.225 3.001
Pb 0.000 0.000 4.486
Pb 0.000 0.000 7.518
```

Calculated values
E_form = -0.23 eV per atom
total moment = 0.00 μB/cell
crystal system = tetragonal
offset from the most stable computed form = 0.000 eV/atom
electronic total energy = -5.057 eV per atom

[4]
Material: CaRh2Pb2
Method: DFT, PBE-GGA
State: optimized geometry

```
5
Lattice="-2.353 2.353 5.389 2.353 -2.353 5.389 2.353 2.353 -5.389" Properties=species:S:1:pos:R:3 pbc="T T T"
Ca 0.000 0.000 0.000
Rh 0.000 0.000 4.135
Rh 0.000 0.000 6.643
Pb 2.353 0.000 2.695
Pb 0.000 2.353 2.695
```

Calculated values
E_form = -0.16 eV per atom
total moment = 0.00 μB/cell
crystal system = tetragonal
offset from the most stable computed form = 0.069 eV/atom
electronic total energy = -4.987 eV per atom